The following is a PBE-GGA calculation of a relaxed structure of LaCd2As, from Alexandria.

Lattice parameters (Å, degrees): 9.8585 4.2525 5.3051 90.00 104.26 90.00
Last column: nearest neighbours and their distance in Å.
Space group Cm (No. 8)
Inequivalent atoms, fractional coordinates:
La 0.0000 0.0000 0.0000 (multiplicity 2)  3 As 2.95-3.03
Cd 0.1765 0.5000 0.5137 (multiplicity 2)  3 Cd 2.84-3.04, 2 As 2.86
Cd 0.3802 0.0000 0.4222 (multiplicity 2)  2 As 2.83-2.84, 3 Cd 2.84-3.04
As 0.2744 0.0000 0.8725 (multiplicity 2)  4 Cd 2.83-2.86, 3 La 2.95-3.03

Results
The value obtained for the formation energy is -0.534 eV/atom.